A relaxed Ba4TlPd2 crystal, computed with PBE.

It has space group R-3m (No. 166, hexagonal axes), with a = 5.5554 Å, b = 5.5554 Å, c = 30.6237 Å, α = 90.00°, β = 90.00° and γ = 120.00°. The distinct sites, in fractional coordinates, are Ba at (0.0000, 0.0000, 0.1146), Ba at (0.0000, 0.0000, 0.2947), Tl at (0.0000, 0.0000, 0.5000) and Pd at (0.0000, 0.0000, 0.4061).

As for the magnetization: 1.034 μB/cell. The value obtained for the calculated density is 5.883 Mg/m³. The value obtained for the energy above the most stable polymorph in this dataset is 0.000 eV per atom. Its formation energy is -359 meV per atom. The total energy is -3.280 eV/atom.